## Ag2S4O (GGA-PBE)

Data for Ag2S4O after structural relaxation.

Results
Its density of states at the Fermi level is 0.901 states/eV per atom. For the volume, the calculation gives 19.7 Å³ per atom. The uncorrected formation energy comes out at 4.0 eV/f.u. The calculation puts the magnetic moment at 0.2 μB/f.u.

POSCAR file:
```
Ag2S4O
1.0
3.7893 0.0000 0.0000
0.0000 3.7893 0.0000
1.8947 1.8947 9.6085
O S Ag
1 4 2
Cartesian
0.0000 0.0000 0.0000 O
0.0000 1.8947 0.0000 S
1.8947 1.8947 6.1109 S
1.8947 0.0000 0.0000 S
3.7893 3.7893 3.4975 S
3.7893 3.7893 6.1092 Ag
1.8947 1.8947 3.4992 Ag
```